# 1
ReAu3 meta-GGA SCAN PBEsol geometry; total magnetization = 0.92 μB/f.u.; DOS at the Fermi energy = 1.4 states/eV/f.u.; energy of formation from the pure elements = 0.456 eV per atom
1.0
4.940 0.000 0.000
0.000 4.940 0.000
0.000 0.000 2.711
Re Au
1 3
direct
0.000 0.000 0.000 Re
0.000 0.500 0.500 Au
0.500 0.000 0.500 Au
0.500 0.500 0.000 Au

# 2
TlAsC2 meta-GGA SCAN PBEsol geometry; total magnetization = 0.00 μB/f.u.; DOS at the Fermi energy = 2.1 states/eV/f.u.; energy of formation from the pure elements = 2.591 eV per atom
1.0
0.000 3.017 3.017
3.017 0.000 3.017
3.017 3.017 0.000
Tl As C
1 1 2
direct
0.000 0.000 0.000 Tl
0.500 0.500 0.500 As
0.250 0.250 0.250 C
0.750 0.750 0.750 C

# 3
Ta11Al4 meta-GGA SCAN PBEsol geometry; total magnetization = 0.00 μB/f.u.; DOS at the Fermi energy = 10.8 states/eV/f.u.; energy of formation from the pure elements = -0.192 eV per atom
1.0
9.912 0.000 0.000
0.000 5.148 0.000
-0.082 0.000 9.987
Ta Al
22 8
direct
0.036 0.000 0.126 Ta
0.103 0.000 0.397 Ta
0.128 0.500 0.964 Ta
0.181 0.250 0.684 Ta
0.181 0.750 0.684 Ta
0.258 0.500 0.434 Ta
0.318 0.254 0.179 Ta
0.318 0.746 0.179 Ta
0.372 0.000 0.463 Ta
0.397 0.500 0.897 Ta
0.464 0.500 0.630 Ta
0.536 0.500 0.370 Ta
0.603 0.500 0.103 Ta
0.628 0.000 0.537 Ta
0.682 0.254 0.821 Ta
0.682 0.746 0.821 Ta
0.742 0.500 0.566 Ta
0.819 0.250 0.316 Ta
0.819 0.750 0.316 Ta
0.872 0.500 0.036 Ta
0.897 0.000 0.603 Ta
0.964 0.000 0.874 Ta
0.000 0.500 0.500 Al
0.066 0.500 0.236 Al
0.237 0.000 0.935 Al
0.432 0.000 0.739 Al
0.500 0.000 0.000 Al
0.568 0.000 0.261 Al
0.763 0.000 0.065 Al
0.934 0.500 0.764 Al

# 4
Cr3Rh meta-GGA SCAN PBEsol geometry; total magnetization = 2.74 μB/f.u.; DOS at the Fermi energy = 2.9 states/eV/f.u.; energy of formation from the pure elements = -0.067 eV per atom
1.0
2.834 0.000 0.000
0.000 2.834 0.000
0.000 0.000 5.953
Cr Rh
3 1
direct
0.000 0.000 0.000 Cr
0.500 0.500 0.222 Cr
0.500 0.500 0.778 Cr
0.000 0.000 0.500 Rh

> What is the formula in the second record?

TlAsC2

> Which of these has the lowest DOS at the Fermi energy?

ReAu3

> The lowest DOS at the Fermi energy belongs to which entry?

ReAu3

> Among the records above, which one has the lowest energy of formation from the pure elements?

Ta11Al4